[1]
A plane-wave DFT calculation with GGA-PBE was carried out for an optimized crystal structure of Mg3Ga3Pd2.

a b c (Å): 5.2907 5.2907 15.2162
angles (deg): 90.00 90.00 136.66
Sites, in units of the cell vectors:
Mg1 0.0608 0.9392 0.6161
Mg2 0.0608 0.9392 0.8839
Mg3 0.3440 0.6560 0.7500
Mg4 0.6560 0.3440 0.2500
Mg5 0.9392 0.0608 0.1161
Mg6 0.9392 0.0608 0.3839
Ga1 0.3684 0.6316 0.5285
Ga2 0.3684 0.6316 0.9715
Ga3 0.3778 0.6222 0.2500
Ga4 0.6222 0.3778 0.7500
Ga5 0.6316 0.3684 0.0285
Ga6 0.6316 0.3684 0.4715
Pd1 0.2235 0.7765 0.1168
Pd2 0.2235 0.7765 0.3832
Pd3 0.7765 0.2235 0.6168
Pd4 0.7765 0.2235 0.8832

Calculated values
- Polymorph energy (0 for the lowest one): 0.004 eV per atom
- E_tot: -3.493 eV per atom
- Energy of formation: -0.46 eV/atom
- Symmetry: Cmcm

---

[2]
A plane-wave DFT calculation with GGA-PBE was carried out for an optimized crystal structure of Zr2ScTe.

a b c (Å): 10.1943 3.4937 5.2881
angles (deg): 90.00 103.51 90.00
Sites, in units of the cell vectors:
Zr1 0.0000 0.0000 0.0000
Zr2 0.2397 0.0000 0.7410
Zr3 0.5000 0.5000 0.0000
Zr4 0.7397 0.5000 0.7410
Sc1 0.2635 0.5000 0.2716
Sc2 0.7635 0.0000 0.2716
Te1 0.0023 0.5000 0.5031
Te2 0.5023 0.0000 0.5031

Calculated values
- E_tot: -7.001 eV per atom
- Uncorrected formation energy: -0.3585 eV per atom
- Symmetry: Cm

---

[3]
A plane-wave DFT calculation with GGA-PBE was carried out for an optimized crystal structure of La6Er5Mg.

a b c (Å): 10.7981 10.7981 10.7981
angles (deg): 159.65 113.30 70.54
Sites, in units of the cell vectors:
La1 0.0952 0.3377 0.7574
La2 0.2281 0.0000 0.2281
La3 0.4197 0.6623 0.7574
La4 0.5803 0.3377 0.2426
La5 0.7719 0.0000 0.7719
La6 0.9048 0.6623 0.2426
Er1 0.1479 0.1479 0.0000
Er2 0.3155 0.8155 0.5000
Er3 0.5000 0.5000 0.0000
Er4 0.6845 0.1845 0.5000
Er5 0.8521 0.8521 0.0000
Mg1 0.0000 0.5000 0.5000

Calculated values
- E_tot: -4.420 eV per atom
- Energy of formation: 0.08 eV/atom
- Symmetry: Immm

---

> What is the formula in the second record?

Zr2ScTe

---

> Which formula does entry 1 have?

Mg3Ga3Pd2

---

> Number 3 is which compound?

La6Er5Mg